The following is a PBE calculation of a relaxed LiCr2Co2 crystal, from the Alexandria database.

Values from the calculation:
Magnetic moment   0.00 μB/f.u.
Total energy   -68.714 eV per cell
Theoretical density   6.31 g/cm³
Energy relative to the elements   20 kJ/mol of atoms

a = 7.0028 Å, b = 7.0028 Å, c = 2.4558 Å
α = 90.00°, β = 90.00°, γ = 90.00°
Fractional positions:
Cr1 0.3811 0.8811 0.0000
Cr2 0.8811 0.6189 0.0000
Cr3 0.6189 0.1189 0.0000
Cr4 0.1189 0.3811 0.0000
Co1 0.1721 0.6721 0.5000
Co2 0.6721 0.8279 0.5000
Co3 0.8279 0.3279 0.5000
Co4 0.3279 0.1721 0.5000
Li1 0.0000 0.0000 0.0000
Li2 0.5000 0.5000 0.0000